[1]
! GGA-PBE TmAl8Ga6, optimized geometry; values from VASP
&SYSTEM
  ibrav = 0, nat = 15, ntyp = 3
/
ATOMIC_SPECIES
Al 26.98 Al.upf
Ga 69.72 Ga.upf
Tm 168.93 Tm.upf
CELL_PARAMETERS angstrom
-3.582 3.933 4.255
1.625 0.227 6.612
3.750 6.766 2.356
ATOMIC_POSITIONS angstrom
Al -0.516 7.533 6.238
Ga 1.105 7.274 4.015
Ga -2.275 5.482 6.683
Al -0.598 5.206 4.582
Al 2.390 5.721 8.640
Al 2.689 7.654 6.095
Al -0.897 3.272 7.127
Tm 0.000 0.000 0.000
Ga 0.586 2.745 5.005
Al 2.240 4.879 4.545
Ga 4.067 5.444 6.539
Ga 0.687 3.652 9.207
Al -0.448 6.047 8.677
Ga 1.206 8.181 8.217
Al 2.307 3.393 6.984
! Symmetry   No. 148

[2]
! GGA-PBE TcMoP3, optimized geometry; values from VASP
&SYSTEM
  ibrav = 0, nat = 5, ntyp = 3
/
ATOMIC_SPECIES
Tc 98.00 Tc.upf
Mo 95.94 Mo.upf
P 30.97 P.upf
CELL_PARAMETERS angstrom
-1.686 -0.954 -4.161
4.245 -0.854 -1.523
-0.458 -4.408 1.196
ATOMIC_POSITIONS angstrom
Tc 0.000 0.000 0.000
Mo 1.051 -3.108 -2.244
P 2.122 -0.427 -0.762
P -0.843 -0.477 -2.081
P -0.229 -2.204 0.598
! Energy above the lowest structure with this stoichiometry   0.000 eV per atom
! Symmetry   No. 221

[3]
! GGA-PBE Hf3Zr, optimized geometry; values from VASP
&SYSTEM
  ibrav = 0, nat = 8, ntyp = 2
/
ATOMIC_SPECIES
Hf 178.49 Hf.upf
Zr 91.22 Zr.upf
CELL_PARAMETERS angstrom
5.073 0.000 0.000
0.000 5.558 -3.209
0.000 0.000 6.418
ATOMIC_POSITIONS angstrom
Hf 1.268 1.849 0.000
Zr 1.268 1.853 3.209
Hf 3.805 0.924 1.601
Hf 1.268 4.633 -1.608
Hf 3.805 0.924 4.817
Hf 3.805 3.709 3.209
Hf 1.268 4.633 1.608
Zr 3.805 3.705 0.000
! Energy above the lowest structure with this stoichiometry   0.001 eV per atom
! Symmetry   No. 194

So what do the calculations give for energy? Going down the list: -0.2574, -0.4767, -0.7058 Ry/atom.
So what do the calculations give for DFT formation energy? Going down the list: 0.00, 1.00, 0.00 eV/atom.